#1
HoZrGa4 | PBE | relaxed

Structure (CIF):
```
data_HoZrGa4
_chemical_formula_sum 'Ho2 Zr2 Ga8'
_cell_length_a 4.172
_cell_length_b 7.239
_cell_length_c 7.635
_cell_angle_alpha 90.00
_cell_angle_beta 90.00
_cell_angle_gamma 90.00
_space_group_name_H-M_alt 'I m m m'
_space_group_IT_number 71
_space_group_name_Hall '-I 2 2'
loop_
_atom_site_label
_atom_site_fract_x
_atom_site_fract_y
_atom_site_fract_z
_atom_site_occupancy
Ho1 0.000 0.000 0.000 1
Zr1 0.000 0.000 0.500 1
Ga1 0.000 0.334 0.248 1
```

ρ in g cm⁻³: 7.71

#2
HoZrGa4 | PBE | relaxed

Structure (CIF):
```
data_HoZrGa4
_chemical_formula_sum 'Ho4 Zr4 Ga16'
_cell_length_a 7.614
_cell_length_b 7.614
_cell_length_c 7.614
_cell_angle_alpha 90.00
_cell_angle_beta 90.00
_cell_angle_gamma 90.00
_space_group_name_H-M_alt 'F -4 3 m'
_space_group_IT_number 216
_space_group_name_Hall 'F -4 2 3'
loop_
_atom_site_label
_atom_site_fract_x
_atom_site_fract_y
_atom_site_fract_z
_atom_site_occupancy
Ho1 0.000 0.000 0.000 1
Zr1 0.250 0.250 0.250 1
Ga1 0.125 0.125 0.625 1
```

ρ in g cm⁻³: 8.05

Each structure's energy above the most stable one, in eV/atom: #1 0.000; #2 0.037.